No. 1
Computed, not measured: a crystal of Cs3RuAu relaxed with PBEsol at the SCAN level of DFT.

## Properties
Volume ... 276 Å³ per cell
Space-group type ... Pm-3m (221)
Total magnetic moment ... 2.004 Bohr magnetons per cell
Energy of formation from the pure elements ... 0.734 eV per atom
Final energy ... -213.74 eV/cell

a = 6.5147 Å, b = 6.5147 Å, c = 6.5147 Å
α = 90.00°, β = 90.00°, γ = 90.00°
Sites, in units of the cell vectors:
Cs 0.0000 0.0000 0.5000
Cs 0.0000 0.5000 0.0000
Cs 0.5000 0.0000 0.0000
Ru 0.5000 0.5000 0.5000
Au 0.0000 0.0000 0.0000

No. 2
Computed, not measured: a crystal of Fe2Rh3 relaxed with PBEsol at the SCAN level of DFT.

## Properties
Volume ... 62 Å³ per cell
Space-group type ... I4/mmm (139)
Total magnetic moment ... 6.504 Bohr magnetons per cell
Energy of formation from the pure elements ... -0.073 eV per atom
Final energy ... -137.94 eV/cell

a = 9.1635 Å, b = 9.1635 Å, c = 9.1635 Å
α = 163.44°, β = 163.44°, γ = 23.50°
Sites, in units of the cell vectors:
Fe 0.0988 0.0988 0.0000
Fe 0.9012 0.9012 0.0000
Rh 0.3041 0.3041 0.0000
Rh 0.5000 0.5000 0.0000
Rh 0.6959 0.6959 0.0000

- Which of these has the lowest final energy?
  Cs3RuAu

- Which formula does entry 1 have?
  Cs3RuAu